DFT (PBE with a Hubbard U) results for an optimized crystal structure of AcCoH2O4.

Its space group is I222. For the total energy, the calculation gives -6.124 eV per atom.

abc: 4.7093 4.9804 4.9804
angles: 70.58 61.78 61.78
Last column: nearest neighbours and their distance in Å.
Element x y z (fractional)
1 Ac 0.0000 0.0000 0.0000  8 O 2.57-2.76
2 Co 0.5000 0.5000 0.5000  4 O 1.86
3 H 0.1691 0.3309 0.3309  2 O 1.23
4 H 0.8309 0.6691 0.6691  2 O 1.23
5 O 0.4027 0.2144 0.4295  1 H 1.23
6 O 0.0466 0.7856 0.5705  1 H 1.23
7 O 0.9534 0.4295 0.2144  1 H 1.23
8 O 0.5973 0.5705 0.7856  1 H 1.23